Below is a relaxed structure of Hg2Os, with properties calculated at the PBE level.

```
data_Hg2Os
_cell_length_a 8.3112
_cell_length_b 8.3112
_cell_length_c 2.8858
_cell_angle_alpha 90.00
_cell_angle_beta 90.00
_cell_angle_gamma 120.00
_space_group_name_H-M_alt 'P -6 2 m'
_space_group_IT_number 189
_space_group_name_Hall 'P -6 -2'
loop_
_atom_site_label
_atom_site_fract_x
_atom_site_fract_y
_atom_site_fract_z
_atom_site_occupancy
Hg1 0.0000 0.2890 0.0000 1
Hg2 0.0000 0.6120 0.5000 1
Os1 0.0000 0.0000 0.5000 1
Os2 0.3333 0.6667 0.0000 1
```

- Energy of formation from the pure elements: 0.955 eV/atom
- Total magnetic moment: 0.000 μB/atom